# 1
Entry from the Alexandria database: an optimized crystal structure of Rb2VSiBr6 (GGA-PBE).

Structure (extended XYZ):
```
10
Lattice="-7.132 -2.637 0.614 2.118 -4.355 5.895 -3.699 0.520 6.650" Properties=species:S:1:pos:R:3 pbc="T T T"
Br -4.852 -3.061 1.916
Br -3.111 -1.461 4.975
Br -1.236 -1.723 1.604
Br -3.778 -5.269 4.905
Br -5.602 -5.011 8.184
Br -0.162 -3.931 4.593
V 0.000 0.000 0.000
Rb -2.044 -3.665 7.900
Rb -6.669 -2.807 5.259
Si -2.507 -3.496 3.255
```

Output
**DOS at the Fermi energy**: 0.000 states/eV per atom

# 2
Entry from the Alexandria database: an optimized crystal structure of Rb2SiWBr6 (GGA-PBE).

Structure (extended XYZ):
```
10
Lattice="7.724 0.000 0.000 0.000 7.724 0.000 3.862 3.862 5.491" Properties=species:S:1:pos:R:3 pbc="T T T"
Br 1.878 1.878 0.000
Br 5.846 5.846 0.000
Br 3.862 3.862 2.828
Br 1.878 5.846 0.000
Br 7.724 7.724 2.663
Br 5.846 1.878 0.000
W 0.000 0.000 0.000
Rb 3.862 7.724 2.745
Rb 7.724 3.862 2.745
Si 3.862 3.862 0.000
```

Output
**DOS at the Fermi energy**: 0.223 states/eV per atom

# 3
Entry from the Alexandria database: an optimized crystal structure of RbSi2WBr (GGA-PBE).

Structure (extended XYZ):
```
5
Lattice="5.167 0.000 0.000 0.000 5.728 0.000 0.000 0.000 5.167" Properties=species:S:1:pos:R:3 pbc="T T T"
Br 0.000 0.000 0.000
Rb 0.000 2.864 0.000
Si 2.583 0.000 0.000
Si 0.000 0.000 2.583
W 2.583 2.864 2.583
```

Output
**DOS at the Fermi energy**: 0.464 states/eV per atom

# 4
Entry from the Alexandria database: an optimized crystal structure of Rb2YSiBr6 (GGA-PBE).

Structure (extended XYZ):
```
10
Lattice="-6.332 1.860 -5.032 -5.175 -4.168 4.973 -6.693 3.456 2.856" Properties=species:S:1:pos:R:3 pbc="T T T"
Rb -8.811 -0.933 3.900
Rb -9.390 2.081 -1.103
Br -6.215 1.107 1.386
Br -2.750 -0.551 -0.014
Br -11.987 0.041 1.411
Br -6.056 0.420 -2.641
Br -8.758 -1.756 -0.045
Br -5.452 -2.727 2.582
Si -5.754 -1.154 -0.030
Y 0.000 0.000 0.000
```

Output
**DOS at the Fermi energy**: 0.427 states/eV per atom

Asked for energy relative to the elements, uncorrected across the records above, the calculation gives -1.000; -0.646; 1.886; -1.263 eV/atom in order.